1.
Material: CaPt2Cl
Method: DFT, PBE
State: optimized geometry

Computed properties:
For the total energy, the calculation gives -18.9 eV/f.u. The relative energy among the computed polymorphs is 118 meV/atom. The value obtained for the formation energy without anion corrections is -287 kJ/mol of formula units.

Unit cell a=6.4562 b=6.4562 c=4.4017 alpha=109.86 beta=109.86 gamma=27.40
Fractional coordinates of all 4 atoms:
Ca 0.0000 0.0000 0.0000
Pt 0.2653 0.2653 0.7653
Pt 0.7347 0.7347 0.2347
Cl 0.5000 0.5000 0.5000



2.
Material: KCaCuBr4
Method: DFT, PBE
State: optimized geometry

Computed properties:
For the total energy, the calculation gives -23.8 eV/f.u. The value obtained for the formation energy without anion corrections is -960 kJ/mol of formula units.

Unit cell a=6.8052 b=7.4300 c=9.0225 alpha=90.00 beta=108.81 gamma=90.00
Fractional coordinates of all 14 atoms:
K 0.2322 0.2500 0.0518
K 0.7678 0.7500 0.9482
Ca 0.2243 0.2500 0.5564
Ca 0.7757 0.7500 0.4436
Cu 0.2258 0.7500 0.3245
Cu 0.7742 0.2500 0.6755
Br 0.0178 0.5058 0.7157
Br 0.0178 0.9942 0.7157
Br 0.4305 0.7500 0.1461
Br 0.4645 0.7500 0.5936
Br 0.5355 0.2500 0.4064
Br 0.5695 0.2500 0.8539
Br 0.9822 0.0058 0.2843
Br 0.9822 0.4942 0.2843



3.
Material: HfNbIO2
Method: DFT, PBE
State: optimized geometry

Computed properties:
For the total energy, the calculation gives -36.4 eV/f.u. The relative energy among the computed polymorphs is 0 meV/atom. The value obtained for the formation energy without anion corrections is -474 kJ/mol of formula units.

Unit cell a=4.0819 b=4.0819 c=6.0915 alpha=90.00 beta=90.00 gamma=90.00
Fractional coordinates of all 5 atoms:
Hf 0.0000 0.0000 0.0000
Nb 0.5000 0.5000 0.5000
I 0.0000 0.0000 0.5000
O 0.0000 0.5000 0.0000
O 0.5000 0.0000 0.0000



4.
Material: RuPbBr
Method: DFT, PBE
State: optimized geometry

Computed properties:
For the total energy, the calculation gives -13.1 eV/f.u. The relative energy among the computed polymorphs is 117 meV/atom. The value obtained for the formation energy without anion corrections is 149 kJ/mol of formula units.

Unit cell a=4.6014 b=4.6014 c=3.4945 alpha=90.00 beta=90.00 gamma=120.00
Fractional coordinates of all 3 atoms:
Ru 0.0000 0.0000 0.0000
Pb 0.3333 0.6667 0.5000
Br 0.6667 0.3333 0.0000



5.
Material: Tb3Pr4ScS8
Method: DFT, PBE
State: optimized geometry

Computed properties:
For the total energy, the calculation gives -104.1 eV/f.u. The value obtained for the formation energy without anion corrections is -3067 kJ/mol of formula units.

Unit cell a=8.0729 b=8.0729 c=8.0729 alpha=58.58 beta=58.58 gamma=58.58
Fractional coordinates of all 16 atoms:
Tb 0.0000 0.5000 0.5000
Tb 0.5000 0.0000 0.5000
Tb 0.5000 0.5000 0.0000
Pr 0.0000 0.0000 0.5000
Pr 0.0000 0.5000 0.0000
Pr 0.5000 0.0000 0.0000
Pr 0.5000 0.5000 0.5000
Sc 0.0000 0.0000 0.0000
S 0.2377 0.2377 0.7511
S 0.2377 0.7511 0.2377
S 0.2489 0.7623 0.7623
S 0.2558 0.2558 0.2558
S 0.7442 0.7442 0.7442
S 0.7511 0.2377 0.2377
S 0.7623 0.2489 0.7623
S 0.7623 0.7623 0.2489



6.
Material: Tb6DyHo12
Method: DFT, PBE
State: optimized geometry

Computed properties:
For the total energy, the calculation gives -78.6 eV/f.u. The relative energy among the computed polymorphs is 300 meV/atom. The calculation puts the formation enthalpy at 0 K at 8.697 eV/f.u.

Unit cell a=9.2285 b=9.2285 c=9.2285 alpha=107.15 beta=107.15 gamma=107.15
Fractional coordinates of all 19 atoms:
Tb 0.2902 0.6828 0.6828
Tb 0.3172 0.3172 0.7098
Tb 0.3172 0.7098 0.3172
Tb 0.6828 0.2902 0.6828
Tb 0.6828 0.6828 0.2902
Tb 0.7098 0.3172 0.3172
Dy 0.0000 0.0000 0.0000
Ho 0.0987 0.3321 0.3321
Ho 0.1120 0.5000 0.8880
Ho 0.1120 0.8880 0.5000
Ho 0.3321 0.0987 0.3321
Ho 0.3321 0.3321 0.0987
Ho 0.5000 0.1120 0.8880
Ho 0.5000 0.8880 0.1120
Ho 0.6679 0.6679 0.9013
Ho 0.6679 0.9013 0.6679
Ho 0.8880 0.1120 0.5000
Ho 0.8880 0.5000 0.1120
Ho 0.9013 0.6679 0.6679



7.
Material: ReSI2
Method: DFT, PBE
State: optimized geometry

Computed properties:
For the total energy, the calculation gives -14.1 eV/f.u. The relative energy among the computed polymorphs is 267 meV/atom. The value obtained for the formation energy without anion corrections is 535 kJ/mol of formula units.

Unit cell a=4.9151 b=4.9151 c=4.9151 alpha=60.00 beta=60.00 gamma=60.00
Fractional coordinates of all 4 atoms:
Re 0.0000 0.0000 0.0000
S 0.5000 0.5000 0.5000
I 0.2500 0.2500 0.2500
I 0.7500 0.7500 0.7500



8.
Material: Y2Ho6Er3Th
Method: DFT, PBE
State: optimized geometry

Computed properties:
For the total energy, the calculation gives -61.2 eV/f.u. The calculation puts the formation enthalpy at 0 K at 0.336 eV/f.u.

Unit cell a=6.1226 b=6.1226 c=11.7182 alpha=95.00 beta=95.00 gamma=119.96
Fractional coordinates of all 12 atoms:
Y 0.1667 0.8333 0.0000
Y 0.8333 0.1667 0.0000
Ho 0.0857 0.4153 0.7486
Ho 0.2551 0.2551 0.2513
Ho 0.4153 0.0857 0.7486
Ho 0.5847 0.9143 0.2514
Ho 0.7449 0.7449 0.7487
Ho 0.9143 0.5847 0.2514
Er 0.0000 0.0000 0.5000
Er 0.3326 0.6674 0.5000
Er 0.6674 0.3326 0.5000
Th 0.5000 0.5000 0.0000



9.
Material: SiAs2PbO8
Method: DFT, PBE
State: optimized geometry

Computed properties:
For the total energy, the calculation gives -74.4 eV/f.u. The value obtained for the formation energy without anion corrections is -1575 kJ/mol of formula units.

Unit cell a=8.5024 b=8.5024 c=8.5024 alpha=32.93 beta=32.93 gamma=32.93
Fractional coordinates of all 12 atoms:
Si 0.0000 0.0000 0.0000
As 0.2639 0.2639 0.2639
As 0.7361 0.7361 0.7361
Pb 0.5000 0.5000 0.5000
O 0.0257 0.3495 0.7731
O 0.1929 0.1929 0.1929
O 0.2269 0.6505 0.9743
O 0.3495 0.7731 0.0257
O 0.6505 0.9743 0.2269
O 0.7731 0.0257 0.3495
O 0.8071 0.8071 0.8071
O 0.9743 0.2269 0.6505



10.
Material: HgRh2Pb
Method: DFT, PBE
State: optimized geometry

Computed properties:
For the total energy, the calculation gives -17.3 eV/f.u. The calculation puts the formation enthalpy at 0 K at 1.399 eV/f.u.

Unit cell a=9.6924 b=9.6924 c=9.6924 alpha=18.45 beta=18.45 gamma=18.45
Fractional coordinates of all 4 atoms:
Hg 0.0000 0.0000 0.0000
Rh 0.2547 0.2547 0.2547
Rh 0.5181 0.5181 0.5181
Pb 0.7709 0.7709 0.7709



11.
Material: Cr2ReNiSn
Method: DFT, PBE
State: optimized geometry

Computed properties:
For the total energy, the calculation gives -35.8 eV/f.u. The relative energy among the computed polymorphs is 72 meV/atom. The calculation puts the formation enthalpy at 0 K at 5.705 eV/f.u.

Unit cell a=4.6269 b=4.6269 c=4.6649 alpha=90.00 beta=90.00 gamma=90.00
Fractional coordinates of all 5 atoms:
Cr 0.0000 0.5000 0.0000
Cr 0.5000 0.0000 0.0000
Re 0.0000 0.0000 0.0000
Ni 0.0000 0.0000 0.5000
Sn 0.5000 0.5000 0.5000



12.
Material: AlTl2Cu
Method: DFT, PBE
State: optimized geometry

Computed properties:
For the total energy, the calculation gives -11.1 eV/f.u. The relative energy among the computed polymorphs is 238 meV/atom. The calculation puts the formation enthalpy at 0 K at 1.452 eV/f.u.

Unit cell a=5.2902 b=5.2902 c=5.2902 alpha=133.15 beta=120.60 gamma=78.88
Fractional coordinates of all 4 atoms:
Al 0.0000 0.0000 0.0000
Tl 0.2676 0.7676 0.5000
Tl 0.7324 0.2324 0.5000
Cu 0.5000 0.5000 0.0000



no.,magnetic moment (μB per cell)
1,0.000
2,0.274
3,3.536
4,0.649
5,0.000
6,0.010
7,1.280
8,0.000
9,0.000
10,1.846
11,5.009
12,0.000